Entry from OQMD: crystalline CsGdMo at its relaxed geometry (PBE).

Summary:
Its total energy is -3.328 eV per atom.

abc: 7.234 7.234 7.234
angles: 90.00 90.00 90.00
Space group F-43m (No. 216)
Unique sites:
1 Cs 0.000 0.000 0.000 x4
2 Gd 0.250 0.250 0.250 x4
3 Mo 0.250 0.250 0.750 x4